A relaxed Zr2Cr2F3 crystal, computed with PBE with a Hubbard U.

```
Zr2Cr2F3
1.0
5.018 3.955 -0.507
-5.018 3.955 -0.507
0.000 0.490 5.934
Zr Cr F
4 4 6
direct
0.227 0.227 0.226 Zr
0.321 0.797 0.349 Zr
0.858 0.858 0.190 Zr
0.797 0.321 0.349 Zr
0.050 0.050 0.676 Cr
0.407 0.407 0.650 Cr
0.041 0.501 0.904 Cr
0.501 0.041 0.904 Cr
0.780 0.397 0.699 F
0.582 0.330 0.064 F
0.644 0.644 0.391 F
0.821 0.821 0.837 F
0.330 0.582 0.064 F
0.397 0.780 0.699 F
```

excess energy over the best structure of this formula in the dataset	80	meV per atom
total magnetization	7.073	μB per formula unit
space-group type	No. 8